This record from the Alexandria database describes crystalline Sr3PbN at its relaxed geometry. The functional is PBE-GGA.

Cell lengths 5.545, 5.545, 10.749 Å; angles 90.00, 90.00, 120.00 degrees
Fractional coordinates of all 10 atoms:
Sr 0.000 0.000 0.250
Sr 0.000 0.000 0.750
Sr 0.333 0.667 0.063
Sr 0.333 0.667 0.437
Sr 0.667 0.333 0.563
Sr 0.667 0.333 0.937
Pb 0.333 0.667 0.750
Pb 0.667 0.333 0.250
N 0.000 0.000 0.000
N 0.000 0.000 0.500

Computed properties:
**Uncorrected formation energy**: -0.146 eV/atom
**Crystal system**: hexagonal
**Space-group type**: P6_3/mmc
**Calculated volume**: 28.63 A^3/atom